# 1
Computed, not measured: a geometry-optimized Ba3In structure at the GGA-PBEsol level of DFT.

Values from the calculation:
DOS(E_F), states/eV/f.u.: 4.6
Energy, eV per atom: -2.555
Space group: Immm (71)
Energy relative to the elements, meV per atom: -198
Size of the total moment, Bohr magnetons per cell: 0.00

abc: 7.684 7.684 7.684
angles: 146.97 132.14 59.39
Element x y z (fractional)
Ba (0.000, 0.000, 0.000)
Ba (0.295, 0.795, 0.500)
Ba (0.705, 0.205, 0.500)
In (0.500, 0.500, 0.000)

=====

# 2
Computed, not measured: a geometry-optimized La2CrSi structure at the GGA-PBEsol level of DFT.

Values from the calculation:
DOS(E_F), states/eV/f.u.: 5.0
Energy, eV per atom: -6.796
Space group: Amm2 (38)
Energy relative to the elements, uncorrected, eV/atom: -0.126
Size of the total moment, Bohr magnetons per cell: 2.88

abc: 4.250 5.968 5.968
angles: 41.57 90.00 90.00
Element x y z (fractional)
La (0.000, 0.000, 0.000)
La (0.500, 0.285, 0.285)
Cr (0.500, 0.582, 0.582)
Si (0.000, 0.704, 0.704)